# 1
# ScTaPt2 PBE-GGA relaxed
data_ScTaPt2
_space_group_name_H-M_alt 'C 1 2/m 1'
_space_group_IT_number 12
_cell_length_a 7.395
_cell_length_b 3.553
_cell_length_c 6.186
_cell_angle_alpha 90.00
_cell_angle_beta 105.91
_cell_angle_gamma 90.00
loop_
_space_group_symop_operation_xyz
'x,y,z'
'-x,-y,-z'
'-x,y,-z'
'x,-y,z'
'x+1/2,y+1/2,z'
'-x+1/2,-y+1/2,-z'
'-x+1/2,y+1/2,-z'
'x+1/2,-y+1/2,z'
loop_
_atom_site_label
_atom_site_type_symbol
_atom_site_fract_x
_atom_site_fract_y
_atom_site_fract_z
Sc1 Sc 0.000 0.000 0.000
Ta1 Ta 0.000 0.500 0.500
Pt1 Pt 0.241 0.000 0.727
# Uncorrected energy ... -8.113 eV per atom



# 2
# ScTa2Pt PBE-GGA relaxed
data_ScTa2Pt
_space_group_name_H-M_alt 'R 3 m'
_space_group_IT_number 160
_space_group_name_Hall 'R 3 -2"'
_cell_length_a 3.0106
_cell_length_b 3.0106
_cell_length_c 28.1692
_cell_angle_alpha 90.00
_cell_angle_beta 90.00
_cell_angle_gamma 120.00
loop_
_atom_site_label
_atom_site_type_symbol
_atom_site_fract_x
_atom_site_fract_y
_atom_site_fract_z
Sc1 Sc 0.0000 0.0000 0.0000
Ta1 Ta 0.0000 0.0000 0.5072
Ta2 Ta 0.0000 0.0000 0.7541
Pt1 Pt 0.0000 0.0000 0.2519
# E above lowest polymorph ... 236 meV/atom



# 3
# ScTa2Pt PBE-GGA relaxed
data_ScTa2Pt
_space_group_name_H-M_alt 'P 1 2/m 1'
_space_group_IT_number 10
_cell_length_a 2.873
_cell_length_b 4.837
_cell_length_c 5.269
_cell_angle_alpha 90.00
_cell_angle_beta 101.30
_cell_angle_gamma 90.00
loop_
_space_group_symop_operation_xyz
'x,y,z'
'-x,-y,-z'
'-x,y,-z'
'x,-y,z'
loop_
_atom_site_label
_atom_site_type_symbol
_atom_site_fract_x
_atom_site_fract_y
_atom_site_fract_z
Sc1 Sc 0.000 0.000 0.000
Ta1 Ta 0.274 0.500 0.751
Pt1 Pt 0.500 0.000 0.500
# E above lowest polymorph ... 105 meV/atom



# 4
# ScTaPt6 PBE-GGA relaxed
data_ScTaPt6
_space_group_name_H-M_alt 'P 4/m m m'
_space_group_IT_number 123
_space_group_name_Hall '-P 4 2'
_cell_length_a 4.006
_cell_length_b 4.006
_cell_length_c 8.006
_cell_angle_alpha 90.00
_cell_angle_beta 90.00
_cell_angle_gamma 90.00
loop_
_atom_site_label
_atom_site_type_symbol
_atom_site_fract_x
_atom_site_fract_y
_atom_site_fract_z
Sc1 Sc 0.000 0.000 0.000
Ta1 Ta 0.000 0.000 0.500
Pt1 Pt 0.000 0.500 0.257
Pt2 Pt 0.500 0.500 0.000
Pt3 Pt 0.500 0.500 0.500
# Uncorrected energy ... -7.711 eV per atom



# 5
# Sc2TaPt2 PBE-GGA relaxed
data_Sc2TaPt2
_space_group_name_H-M_alt 'P 4/m b m'
_space_group_IT_number 127
_space_group_name_Hall '-P 4 2ab'
_cell_length_a 6.784
_cell_length_b 6.784
_cell_length_c 4.225
_cell_angle_alpha 90.00
_cell_angle_beta 90.00
_cell_angle_gamma 90.00
loop_
_atom_site_label
_atom_site_type_symbol
_atom_site_fract_x
_atom_site_fract_y
_atom_site_fract_z
Sc1 Sc 0.170 0.330 0.000
Ta1 Ta 0.000 0.000 0.500
Pt1 Pt 0.140 0.640 0.500
# Uncorrected energy ... -8.110 eV per atom



# 6
# ScTa2Pt PBE-GGA relaxed
data_ScTa2Pt
_space_group_name_H-M_alt 'I 4/m m m'
_space_group_IT_number 139
_space_group_name_Hall '-I 4 2'
_cell_length_a 3.940
_cell_length_b 3.940
_cell_length_c 9.317
_cell_angle_alpha 90.00
_cell_angle_beta 90.00
_cell_angle_gamma 90.00
loop_
_atom_site_label
_atom_site_type_symbol
_atom_site_fract_x
_atom_site_fract_y
_atom_site_fract_z
Sc1 Sc 0.000 0.000 0.000
Ta1 Ta 0.000 0.500 0.250
Pt1 Pt 0.000 0.000 0.500
# E above lowest polymorph ... 21 meV/atom



In g/cm³, the ρ values for the records above are, in order, 13.09, 13.56, 13.92, 18.05, 11.29, 13.83.